1.
Here is an optimized crystal structure of Al8Au from Alexandria via LeMat-Bulk. Energies are from GGA-PBEsol.

Summary:
Crystal system: tetragonal
Energy of formation (meV per atom): -77

Cell and atoms, written as CIF:
```
data_Al8Au
_cell_length_a 8.5420
_cell_length_b 8.5420
_cell_length_c 3.9734
_cell_angle_alpha 90.00
_cell_angle_beta 90.00
_cell_angle_gamma 90.00
_space_group_name_H-M_alt 'I 4/m m m'
_space_group_IT_number 139
_space_group_name_Hall '-I 4 2'
loop_
_atom_site_label
_atom_site_type_symbol
_atom_site_fract_x
_atom_site_fract_y
_atom_site_fract_z
Al1 Al 0.0000 0.3328 0.0000
Al2 Al 0.1655 0.1655 0.5000
Au1 Au 0.0000 0.0000 0.0000
```

2.
Here is an optimized crystal structure of CaCoP2O7 from Alexandria via LeMat-Bulk. Energies are from GGA-PBEsol.

Summary:
Formation energy (no corrections) (kJ/mol of atoms): -211
ΔE to the lowest computed polymorph (eV/f.u.): 0.14
Crystal system: monoclinic

Cell and atoms, written as CIF:
```
data_CaCoP2O7
_cell_length_a 7.2874
_cell_length_b 8.6308
_cell_length_c 9.0426
_cell_angle_alpha 90.00
_cell_angle_beta 117.16
_cell_angle_gamma 90.00
_space_group_name_H-M_alt 'P 1 21/c 1'
_space_group_IT_number 14
loop_
_space_group_symop_operation_xyz
'x,y,z'
'-x,-y,-z'
'-x,y+1/2,-z+1/2'
'x,-y+1/2,z+1/2'
loop_
_atom_site_label
_atom_site_type_symbol
_atom_site_fract_x
_atom_site_fract_y
_atom_site_fract_z
Ca1 Ca 0.2354 0.0515 0.3906
Co1 Co 0.2697 0.0638 0.8851
P1 P 0.0275 0.7486 0.4634
P2 P 0.4611 0.7313 0.2679
O1 O 0.0340 0.1059 0.6468
O2 O 0.0591 0.6041 0.3808
O3 O 0.1109 0.2256 0.9531
O4 O 0.2470 0.6927 0.1071
O5 O 0.3847 0.2421 0.3025
O6 O 0.4483 0.6208 0.8542
O7 O 0.4903 0.5864 0.3772
```

3.
Here is an optimized crystal structure of Cu2GeS3 from Alexandria via LeMat-Bulk. Energies are from GGA-PBEsol.

Summary:
Formation energy (no corrections) (kJ/mol of atoms): -34
Crystal system: orthorhombic

Cell and atoms, written as CIF:
```
data_Cu2GeS3
_cell_length_a 3.7402
_cell_length_b 11.0194
_cell_length_c 5.2095
_cell_angle_alpha 90.00
_cell_angle_beta 90.00
_cell_angle_gamma 90.00
_space_group_name_H-M_alt 'I m m 2'
_space_group_IT_number 44
loop_
_space_group_symop_operation_xyz
'x,y,z'
'-x,-y,z'
'-x,y,z'
'x,-y,z'
'x+1/2,y+1/2,z+1/2'
'-x+1/2,-y+1/2,z+1/2'
'-x+1/2,y+1/2,z+1/2'
'x+1/2,-y+1/2,z+1/2'
loop_
_atom_site_label
_atom_site_type_symbol
_atom_site_fract_x
_atom_site_fract_y
_atom_site_fract_z
Cu1 Cu 0.0000 0.1666 0.0000
Ge1 Ge 0.0000 0.5000 0.0307
S1 S 0.0000 0.0000 0.2565
S2 S 0.0000 0.3304 0.2609
```

4.
Here is an optimized crystal structure of Mg2RuPt from Alexandria via LeMat-Bulk. Energies are from GGA-PBEsol.

Summary:
Crystal system: tetragonal
Energy of formation (meV per atom): -48

Cell and atoms, written as CIF:
```
data_Mg2RuPt
_cell_length_a 3.2835
_cell_length_b 3.2835
_cell_length_c 5.9488
_cell_angle_alpha 90.00
_cell_angle_beta 90.00
_cell_angle_gamma 90.00
_space_group_name_H-M_alt 'P 4 m m'
_space_group_IT_number 99
loop_
_space_group_symop_operation_xyz
'x,y,z'
'-y,x,z'
'-x,-y,z'
'y,-x,z'
'-x,y,z'
'y,x,z'
'x,-y,z'
'-y,-x,z'
loop_
_atom_site_label
_atom_site_type_symbol
_atom_site_fract_x
_atom_site_fract_y
_atom_site_fract_z
Mg1 Mg 0.0000 0.0000 0.0000
Mg2 Mg 0.5000 0.5000 0.3001
Ru1 Ru 0.5000 0.5000 0.7636
Pt1 Pt 0.0000 0.0000 0.5334
```

Number 1: N(E_F) 6.39 states/eV per cell. Number 2: N(E_F) 14.70 states/eV per cell. Number 3: N(E_F) 1.01 states/eV per cell. Number 4: N(E_F) 3.33 states/eV per cell.